A plane-wave DFT calculation with PBE-GGA was carried out for crystalline CeNd3Rh2 at its relaxed geometry.

The value obtained for the uncorrected energy is -6.29 eV per atom. Its crystal system is monoclinic. As for the spin magnetization: 0.81 μB per formula unit. The formation energy is -0.47 eV/atom.

The space group is C2/m (No. 12) and the conventional cell measures 16.8474, 4.1955 and 11.3269 Å, with angles of 90.00, 119.62 and 90.00 degrees. Symmetry generates all atoms from Ce at (0.0568, 0.0000, 0.1552), Nd at (0.0556, 0.5000, 0.6956), Nd at (0.1714, 0.0000, 0.5357), Nd at (0.2012, 0.5000, 0.0877), Rh at (0.1197, 0.0000, 0.8926) and Rh at (0.1294, 0.5000, 0.3360).